DFT (GGA-PBE) results for a geometry-optimized TlBiClO2 structure.

* raw formation energy: -0.725 eV/atom
* magnetic moment: 0.0 μB per cell

a = 4.392 Å, b = 4.392 Å, c = 5.697 Å
α = 90.00°, β = 90.00°, γ = 90.00°
Space group P4/mmm (No. 123)
One atom of each set of equivalent atoms:
1 Tl 0.000 0.000 0.000
2 Bi 0.500 0.500 0.500
3 Cl 0.500 0.500 0.000
4 O 0.000 0.500 0.500



DFT (GGA-PBE) results for a geometry-optimized Sn2PdRu2 structure.

* energy of formation from the pure elements: -0.02 eV per atom
* magnetic moment: 0.0 μB per cell

a = 7.398 Å, b = 7.398 Å, c = 3.210 Å
α = 90.00°, β = 90.00°, γ = 90.00°
Space group P4/mbm (No. 127)
One atom of each set of equivalent atoms:
1 Sn 0.167 0.333 0.000
2 Pd 0.000 0.000 0.500
3 Ru 0.133 0.633 0.500



DFT (GGA-PBE) results for a geometry-optimized Pu6HgGe2 structure.

* energy of formation from the pure elements: -0.02 eV per atom
* magnetic moment: 35.6 μB per cell

a = 8.8020 Å, b = 8.8020 Å, c = 3.1734 Å
α = 90.00°, β = 90.00°, γ = 120.00°
Space group P6/mmm (No. 191)
One atom of each set of equivalent atoms:
1 Pu 0.0000 0.3384 0.0000
2 Hg 0.0000 0.0000 0.5000
3 Ge 0.3333 0.6667 0.5000



DFT (GGA-PBE) results for a geometry-optimized La15Y4Th structure.

* energy of formation from the pure elements: 0.02 eV per atom
* magnetic moment: 0.0 μB per cell

a = 5.224 Å, b = 5.224 Å, c = 26.092 Å
α = 90.00°, β = 90.00°, γ = 90.00°
Space group P4/mmm (No. 123)
One atom of each set of equivalent atoms:
1 La 0.000 0.000 0.000
2 La 0.000 0.000 0.202
3 La 0.000 0.000 0.401
4 La 0.000 0.500 0.097
5 La 0.000 0.500 0.300
6 La 0.000 0.500 0.500
7 Y 0.500 0.500 0.201
8 Y 0.500 0.500 0.400
9 Th 0.500 0.500 0.000



Table of D(E_F) (states/eV per atom), in record order: 0.211; 0.723; 3.038; 1.557